No. 1
Cs2NaHgF6 after structural relaxation. Source: the Open Quantum Materials Database, functional PBE.

Results
**ΔE to the lowest computed polymorph**: 0 meV per atom
**Symmetry**: P4/mnc (128)

The structure in CIF format:
```
data_Cs2NaHgF6
_space_group_name_H-M_alt 'P 1'
_space_group_IT_number 1
_cell_length_a 6.2409
_cell_length_b 6.2331
_cell_length_c 10.8077
_cell_angle_alpha 90.00
_cell_angle_beta 125.24
_cell_angle_gamma 90.00
loop_
_space_group_symop_operation_xyz
'x,y,z'
loop_
_atom_site_label
_atom_site_type_symbol
_atom_site_fract_x
_atom_site_fract_y
_atom_site_fract_z
_atom_site_occupancy
Cs1 Cs 0.7497 0.0000 0.2500 1
Cs2 Cs 0.2503 0.5001 0.2500 1
Cs3 Cs 0.7497 0.4999 0.7500 1
Cs4 Cs 0.2503 0.9999 0.7500 1
F1 F 0.7467 0.2436 0.0000 1
F2 F 0.2533 0.7564 0.0000 1
F3 F 0.7566 0.7463 0.0002 1
F4 F 0.2490 0.0003 0.2486 1
F5 F 0.7510 0.5003 0.2514 1
F6 F 0.2434 0.2463 0.4998 1
F7 F 0.2533 0.7436 0.5000 1
F8 F 0.7467 0.2564 0.5000 1
F9 F 0.7566 0.7537 0.5002 1
F10 F 0.2489 0.4997 0.7486 1
F11 F 0.7510 0.9997 0.7514 1
F12 F 0.2434 0.2537 0.9998 1
Hg1 Hg 0.0000 0.0000 0.0000 1
Hg2 Hg 0.0000 0.5000 0.5000 1
Na1 Na 0.5000 0.5000 0.0000 1
Na2 Na 0.5000 0.0000 0.5000 1
```


No. 2
TmLuCo2C2 after structural relaxation. Source: the Open Quantum Materials Database, functional PBE.

Results
**Final energy**: -43.8 eV/cell
**Symmetry**: P-4m2 (115)

The structure in CIF format:
```
data_TmLuCo2C2
_space_group_name_H-M_alt 'P 1'
_space_group_IT_number 1
_cell_length_a 3.5914
_cell_length_b 3.5914
_cell_length_c 6.6737
_cell_angle_alpha 90.00
_cell_angle_beta 90.00
_cell_angle_gamma 90.00
loop_
_space_group_symop_operation_xyz
'x,y,z'
loop_
_atom_site_label
_atom_site_type_symbol
_atom_site_fract_x
_atom_site_fract_y
_atom_site_fract_z
_atom_site_occupancy
C1 C 0.0000 0.5000 0.2528 1
C2 C 0.5000 0.0000 0.7472 1
Co1 Co 0.5000 0.5000 0.2551 1
Co2 Co 0.5000 0.5000 0.7449 1
Lu1 Lu 0.0000 0.0000 0.5000 1
Tm1 Tm 0.0000 0.0000 0.0000 1
```


No. 3
LaAgSnSe3 after structural relaxation. Source: the Open Quantum Materials Database, functional PBE.

Results
**ΔE to the lowest computed polymorph**: 14 meV per atom
**Symmetry**: Cmcm (63)

The structure in CIF format:
```
data_LaAgSnSe3
_space_group_name_H-M_alt 'P 1'
_space_group_IT_number 1
_cell_length_a 11.0865
_cell_length_b 7.1866
_cell_length_c 7.1866
_cell_angle_alpha 33.97
_cell_angle_beta 90.00
_cell_angle_gamma 90.00
loop_
_space_group_symop_operation_xyz
'x,y,z'
loop_
_atom_site_label
_atom_site_type_symbol
_atom_site_fract_x
_atom_site_fract_y
_atom_site_fract_z
_atom_site_occupancy
Ag1 Ag 0.0000 0.4744 0.4744 1
Ag2 Ag 0.5000 0.5256 0.5256 1
La1 La 0.2500 0.0000 0.0000 1
La2 La 0.7500 0.0000 0.0000 1
Se1 Se 0.0000 0.0972 0.0972 1
Se2 Se 0.1825 0.3516 0.3516 1
Se3 Se 0.8175 0.3516 0.3516 1
Se4 Se 0.3175 0.6484 0.6484 1
Se5 Se 0.6825 0.6484 0.6484 1
Se6 Se 0.5000 0.9028 0.9028 1
Sn1 Sn 0.5000 0.2370 0.2370 1
Sn2 Sn 0.0000 0.7630 0.7630 1
```


No. 4
CsSm2CuTe3S after structural relaxation. Source: the Open Quantum Materials Database, functional PBE.

Results
**ΔE to the lowest computed polymorph**: 0 meV per atom
**Symmetry**: Cmcm (63)

The structure in CIF format:
```
data_CsSm2CuTe3S
_space_group_name_H-M_alt 'P 1'
_space_group_IT_number 1
_cell_length_a 8.0852
_cell_length_b 8.0852
_cell_length_c 15.1873
_cell_angle_alpha 90.00
_cell_angle_beta 90.00
_cell_angle_gamma 148.64
loop_
_space_group_symop_operation_xyz
'x,y,z'
loop_
_atom_site_label
_atom_site_type_symbol
_atom_site_fract_x
_atom_site_fract_y
_atom_site_fract_z
_atom_site_occupancy
Cs1 Cs 0.5887 0.4113 0.2500 1
Cs2 Cs 0.4113 0.5887 0.7500 1
Cu1 Cu 0.3397 0.6603 0.2500 1
Cu2 Cu 0.6603 0.3397 0.7500 1
S1 S 0.9128 0.0872 0.2500 1
S2 S 0.0872 0.9128 0.7500 1
Sm1 Sm 0.8659 0.1341 0.0747 1
Sm2 Sm 0.8659 0.1341 0.4253 1
Sm3 Sm 0.1341 0.8659 0.5747 1
Sm4 Sm 0.1341 0.8659 0.9253 1
Te1 Te 0.5000 0.5000 0.0000 1
Te2 Te 0.2322 0.7678 0.1139 1
Te3 Te 0.2322 0.7678 0.3861 1
Te4 Te 0.5000 0.5000 0.5000 1
Te5 Te 0.7678 0.2322 0.6139 1
Te6 Te 0.7678 0.2322 0.8861 1
```


No. 5
Gd2Mg3InNi2 after structural relaxation. Source: the Open Quantum Materials Database, functional PBE.

Results
**Final energy**: -30.4 eV/cell
**Symmetry**: Cm (8)

The structure in CIF format:
```
data_Gd2Mg3InNi2
_space_group_name_H-M_alt 'P 1'
_space_group_IT_number 1
_cell_length_a 5.3588
_cell_length_b 5.3588
_cell_length_c 7.9929
_cell_angle_alpha 90.28
_cell_angle_beta 90.28
_cell_angle_gamma 46.35
loop_
_space_group_symop_operation_xyz
'x,y,z'
loop_
_atom_site_label
_atom_site_type_symbol
_atom_site_fract_x
_atom_site_fract_y
_atom_site_fract_z
_atom_site_occupancy
Gd1 Gd 0.4410 0.4410 0.2498 1
Gd2 Gd 0.5604 0.5604 0.7506 1
In1 In 0.1466 0.1466 0.0535 1
Mg1 Mg 0.1536 0.1536 0.4456 1
Mg2 Mg 0.8490 0.8490 0.5547 1
Mg3 Mg 0.8480 0.8480 0.9446 1
Ni1 Ni 0.7298 0.7298 0.2496 1
Ni2 Ni 0.2716 0.2716 0.7516 1
```


No. 6
SrCuSbPt after structural relaxation. Source: the Open Quantum Materials Database, functional PBE.

Results
**ΔE to the lowest computed polymorph**: 233 meV per atom
**Symmetry**: F-43m (216)

The structure in CIF format:
```
data_SrCuSbPt
_space_group_name_H-M_alt 'P 1'
_space_group_IT_number 1
_cell_length_a 4.9792
_cell_length_b 4.9792
_cell_length_c 4.9792
_cell_angle_alpha 60.00
_cell_angle_beta 60.00
_cell_angle_gamma 60.00
loop_
_space_group_symop_operation_xyz
'x,y,z'
loop_
_atom_site_label
_atom_site_type_symbol
_atom_site_fract_x
_atom_site_fract_y
_atom_site_fract_z
_atom_site_occupancy
Cu1 Cu 0.7500 0.7500 0.7500 1
Pt1 Pt 0.5000 0.5000 0.5000 1
Sb1 Sb 0.0000 0.0000 0.0000 1
Sr1 Sr 0.2500 0.2500 0.2500 1
```